# TbPm2PO8 PBE-GGA optimized geometry
# Formation energy without anion corrections ... -2.398 eV/atom
# Uncorrected energy ... -87.99 eV per cell
data_TbPm2PO8
_symmetry_space_group_name_H-M 'P -3 m 1'
_symmetry_Int_Tables_number 164
_symmetry_space_group_name_Hall '-P 3 2"'
_cell_length_a 5.2029
_cell_length_b 5.2029
_cell_length_c 6.2521
_cell_angle_alpha 90.00
_cell_angle_beta 90.00
_cell_angle_gamma 120.00
loop_
_atom_site_label
_atom_site_type_symbol
_atom_site_fract_x
_atom_site_fract_y
_atom_site_fract_z
Tb1 Tb 0.0000 0.0000 0.0000
Pm1 Pm 0.3333 0.6667 0.3633
P1 P 0.0000 0.0000 0.5000
O1 O 0.1530 0.3060 0.6621
O2 O 0.3333 0.6667 0.0228


# DyTm2Th3S6 PBE-GGA optimized geometry
# Formation energy without anion corrections ... -1.888 eV/atom
# Uncorrected energy ... -166.45 eV per cell
data_DyTm2Th3S6
_symmetry_space_group_name_H-M 'C 1 2/m 1'
_symmetry_Int_Tables_number 12
_cell_length_a 6.702
_cell_length_b 11.552
_cell_length_c 7.133
_cell_angle_alpha 90.00
_cell_angle_beta 108.08
_cell_angle_gamma 90.00
loop_
_symmetry_equiv_pos_as_xyz
'x,y,z'
'-x,-y,-z'
'-x,y,-z'
'x,-y,z'
'x+1/2,y+1/2,z'
'-x+1/2,-y+1/2,-z'
'-x+1/2,y+1/2,-z'
'x+1/2,-y+1/2,z'
loop_
_atom_site_label
_atom_site_type_symbol
_atom_site_fract_x
_atom_site_fract_y
_atom_site_fract_z
Dy1 Dy 0.000 0.000 0.000
Tm1 Tm 0.000 0.333 0.000
Th1 Th 0.000 0.165 0.500
Th2 Th 0.000 0.500 0.500
S1 S 0.239 0.500 0.228
S2 S 0.245 0.168 0.230


# AgSb2TeH PBE-GGA optimized geometry
# Uncorrected energy ... -15.21 eV per cell
# E above lowest polymorph ... 0 meV/atom
data_AgSb2TeH
_symmetry_space_group_name_H-M 'P 4/m m m'
_symmetry_Int_Tables_number 123
_symmetry_space_group_name_Hall '-P 4 2'
_cell_length_a 4.426
_cell_length_b 4.426
_cell_length_c 5.657
_cell_angle_alpha 90.00
_cell_angle_beta 90.00
_cell_angle_gamma 90.00
loop_
_atom_site_label
_atom_site_type_symbol
_atom_site_fract_x
_atom_site_fract_y
_atom_site_fract_z
Ag1 Ag 0.000 0.000 0.000
Sb1 Sb 0.000 0.500 0.500
Te1 Te 0.500 0.500 0.000
H1 H 0.500 0.500 0.500


# ZnH2I5 PBE-GGA optimized geometry
# Uncorrected energy ... -17.04 eV per cell
data_ZnH2I5
_symmetry_space_group_name_H-M 'P 1'
_symmetry_Int_Tables_number 1
_cell_length_a 6.586
_cell_length_b 6.930
_cell_length_c 8.085
_cell_angle_alpha 98.15
_cell_angle_beta 109.79
_cell_angle_gamma 93.89
loop_
_symmetry_equiv_pos_as_xyz
'x,y,z'
loop_
_atom_site_label
_atom_site_type_symbol
_atom_site_fract_x
_atom_site_fract_y
_atom_site_fract_z
Zn1 Zn 0.000 0.000 0.000
H1 H 0.160 0.502 0.962
H2 H 0.615 0.012 0.592
I1 I 0.045 0.902 0.317
I2 I 0.063 0.705 0.792
I3 I 0.278 0.337 0.113
I4 I 0.555 0.900 0.332
I5 I 0.626 0.119 0.817


# Ca2Er2Bi2S PBE-GGA optimized geometry
# Formation energy without anion corrections ... -1.019 eV/atom
# Uncorrected energy ... -64.30 eV per cell
data_Ca2Er2Bi2S
_symmetry_space_group_name_H-M 'I 4/m m m'
_symmetry_Int_Tables_number 139
_symmetry_space_group_name_Hall '-I 4 2'
_cell_length_a 5.131
_cell_length_b 5.131
_cell_length_c 16.419
_cell_angle_alpha 90.00
_cell_angle_beta 90.00
_cell_angle_gamma 90.00
loop_
_atom_site_label
_atom_site_type_symbol
_atom_site_fract_x
_atom_site_fract_y
_atom_site_fract_z
Ca1 Ca 0.000 0.000 0.171
Er1 Er 0.000 0.500 0.000
Bi1 Bi 0.000 0.000 0.368
S1 S 0.000 0.000 0.000


# Cs2UHgCl6 PBE-GGA optimized geometry
# Formation energy without anion corrections ... -1.702 eV/atom
# Uncorrected energy ... -82.80 eV per cell
data_Cs2UHgCl6
_symmetry_space_group_name_H-M 'P m m n'
_symmetry_Int_Tables_number 59
_cell_length_a 7.653
_cell_length_b 11.602
_cell_length_c 10.700
_cell_angle_alpha 90.00
_cell_angle_beta 90.00
_cell_angle_gamma 90.00
loop_
_symmetry_equiv_pos_as_xyz
'x,y,z'
'-x,-y,-z'
'-x+1/2,-y+1/2,z'
'x+1/2,y+1/2,-z'
'x+1/2,-y,-z'
'-x+1/2,y,z'
'-x,y+1/2,-z'
'x,-y+1/2,z'
loop_
_atom_site_label
_atom_site_type_symbol
_atom_site_fract_x
_atom_site_fract_y
_atom_site_fract_z
Cs1 Cs 0.250 0.024 0.167
U1 U 0.250 0.750 0.835
Hg1 Hg 0.250 0.250 0.644
Cl1 Cl 0.002 0.250 0.329
Cl2 Cl 0.013 0.750 0.014
Cl3 Cl 0.250 0.522 0.840


# Se2NF PBE-GGA optimized geometry
# Formation energy without anion corrections ... 0.177 eV/atom
# Uncorrected energy ... -49.37 eV per cell
# E above lowest polymorph ... 0 meV/atom
data_Se2NF
_symmetry_space_group_name_H-M 'R -3 m'
_symmetry_Int_Tables_number 166
_symmetry_space_group_name_Hall '-R 3 2"'
_cell_length_a 3.6707
_cell_length_b 3.6707
_cell_length_c 20.7408
_cell_angle_alpha 90.00
_cell_angle_beta 90.00
_cell_angle_gamma 120.00
loop_
_atom_site_label
_atom_site_type_symbol
_atom_site_fract_x
_atom_site_fract_y
_atom_site_fract_z
Se1 Se 0.0000 0.0000 0.0813
N1 N 0.0000 0.0000 0.0000
F1 F 0.0000 0.0000 0.5000


# Tb4NdY3S8 PBE-GGA optimized geometry
# Formation energy without anion corrections ... -1.999 eV/atom
# Uncorrected energy ... -323.07 eV per cell
data_Tb4NdY3S8
_symmetry_space_group_name_H-M 'R -3 m'
_symmetry_Int_Tables_number 166
_symmetry_space_group_name_Hall '-R 3 2"'
_cell_length_a 7.8898
_cell_length_b 7.8898
_cell_length_c 19.3105
_cell_angle_alpha 90.00
_cell_angle_beta 90.00
_cell_angle_gamma 120.00
loop_
_atom_site_label
_atom_site_type_symbol
_atom_site_fract_x
_atom_site_fract_y
_atom_site_fract_z
Tb1 Tb 0.0000 0.0000 0.0000
Tb2 Tb 0.0000 0.5000 0.0000
Nd1 Nd 0.0000 0.0000 0.5000
Y1 Y 0.0000 0.5000 0.5000
S1 S 0.0000 0.0000 0.2497
S2 S 0.0064 0.5032 0.7487